# 1
# Cd2ReP

Cd2ReP after structural relaxation (GGA-PBE, Alexandria via LeMat-Bulk).

* electronic total energy: -33.18 eV/cell
* space group: No. 122
* Fermi-level density of states: 4.33 states/eV per cell
* energy relative to the elements: 0.77 eV per atom

abc: 8.6645 8.6645 6.5380
angles: 48.50 48.50 90.00
Each line ends with the local moment (μB).
Positions (direct):
Re (0.7500, 0.2500, 0.5000)  0.87
Re (0.0000, 0.0000, 0.0000)  0.87
Cd (0.8750, 0.7829, 0.7500)  -0.01
Cd (0.2171, 0.6250, 0.2500)  -0.01
Cd (0.5329, 0.1250, 0.2500)  -0.01
Cd (0.3750, 0.4671, 0.7500)  -0.01
P (0.2500, 0.7500, 0.5000)  -0.01
P (0.5000, 0.5000, 0.0000)  -0.01

# 2
# AsPb2Br

AsPb2Br after structural relaxation (GGA-PBE, Alexandria via LeMat-Bulk).

* energy relative to the elements, uncorrected: -0.17 eV per atom
* electronic total energy: -28.85 eV/cell
* space group: No. 122
* Fermi-level density of states: 0.00 states/eV per cell

abc: 7.9793 7.9793 7.2141
angles: 56.42 56.42 90.00
Positions (direct):
As (0.2500, 0.7500, 0.5000)
As (0.5000, 0.5000, 0.0000)
Br (0.7500, 0.2500, 0.5000)
Br (0.0000, 0.0000, 0.0000)
Pb (0.5888, 0.1250, 0.2500)
Pb (0.3750, 0.4112, 0.7500)
Pb (0.1612, 0.6250, 0.2500)
Pb (0.8750, 0.8388, 0.7500)

# 3
# AlZnPt

AlZnPt after structural relaxation (GGA-PBE, Alexandria via LeMat-Bulk).

* electronic total energy: -52.02 eV/cell
* space group: No. 63
* Fermi-level density of states: 4.10 states/eV per cell
* energy relative to the elements: -0.65 eV per atom

abc: 4.1697 5.1642 8.5357
angles: 90.00 90.00 90.00
Positions (direct):
Zn (0.0000, 0.7500, 0.2500)
Zn (0.0000, 0.2500, 0.2500)
Zn (0.5000, 0.2500, 0.7500)
Zn (0.5000, 0.7500, 0.7500)
Pt (0.0000, 0.0000, 0.6368)
Pt (0.0000, 0.5000, 0.8632)
Pt (0.5000, 0.0000, 0.1368)
Pt (0.5000, 0.5000, 0.3632)
Al (0.5000, 0.5000, 0.0499)
Al (0.0000, 0.5000, 0.5499)
Al (0.5000, 0.0000, 0.4501)
Al (0.0000, 0.0000, 0.9501)

# 4
# NiMoSe6

NiMoSe6 after structural relaxation (GGA-PBE, Alexandria via LeMat-Bulk).

* energy relative to the elements, uncorrected: -0.11 eV per atom
* electronic total energy: -38.43 eV/cell
* space group: No. 2
* Fermi-level density of states: 5.36 states/eV per cell

abc: 6.1234 6.2075 6.7582
angles: 55.96 57.68 58.06
Positions (direct):
Ni (0.0000, 0.0000, 0.0000)
Se (0.9601, 0.5446, 0.2957)
Se (0.6994, 0.0640, 0.8214)
Se (0.0399, 0.4554, 0.7043)
Se (0.5892, 0.1991, 0.3033)
Se (0.4108, 0.8009, 0.6967)
Se (0.3006, 0.9360, 0.1786)
Mo (0.5000, 0.5000, 0.5000)